Entry 1:
## Nb3HgMo (GGA-PBE)

Data for crystalline Nb3HgMo at its relaxed geometry.

formation enthalpy at 0 K = 11.7 eV per formula unit
energy above the lowest structure with this stoichiometry = 115.3 kJ per mole of atoms
magnetization = 0.0 μB/f.u.

Cell: 4.9646 4.9646 4.9646 Å, 90.00 90.00 90.00°
Closest atoms and distances in Å follow each position.
Space group Pm-3m (No. 221)
One atom of each set of equivalent atoms:
Nb 0.0000 0.0000 0.5000 (multiplicity 3)  2 Hg 2.48
Hg 0.0000 0.0000 0.0000 (multiplicity 1)  6 Nb 2.48
Mo 0.5000 0.5000 0.5000 (multiplicity 1)  12 Nb 3.51

=====

Entry 2:
## Nb2HgMo (GGA-PBE)

Data for crystalline Nb2HgMo at its relaxed geometry.

formation enthalpy at 0 K = 0.3 eV per formula unit
magnetization = 0.0 μB/f.u.

Cell: 3.3027 3.3027 6.7269 Å, 90.00 90.00 90.00°
Closest atoms and distances in Å follow each position.
Space group P4/mmm (No. 123)
One atom of each set of equivalent atoms:
Nb 0.0000 0.0000 0.2222 (multiplicity 2)  4 Mo 2.77, 1 Nb 2.99, 4 Hg 2.99
Hg 0.5000 0.5000 0.5000 (multiplicity 1)  8 Nb 2.99, 4 Hg 3.30
Mo 0.5000 0.5000 0.0000 (multiplicity 1)  8 Nb 2.77

=====

What is the formation enthalpy at 0 K in the first record? 11.7 eV per formula unit